#i
An optimized crystal structure of Rb3SrN, computed with PBE.

Unit cell a=6.255 b=6.255 c=6.255 alpha=90.00 beta=90.00 gamma=90.00
Sites, in units of the cell vectors:
Sr1 0.500 0.500 0.500
Rb1 0.000 0.500 0.000
Rb2 0.000 0.000 0.500
Rb3 0.500 0.000 0.000
N1 0.000 0.000 0.000

* ρ: 2.4 g cm⁻³
* crystal system: cubic
* D(E_F): 0.891 states/eV/atom
* space group: No. 221



#ii
An optimized crystal structure of Rb3SrN, computed with PBE.

Unit cell a=8.523 b=8.523 c=8.523 alpha=90.00 beta=90.00 gamma=90.00
Sites, in units of the cell vectors:
Rb1 0.000 0.000 0.500
N1 0.500 0.500 0.500
Rb2 0.000 0.500 0.000
Rb3 0.500 0.000 0.000
Sr1 0.000 0.000 0.000

* ρ: 1.0 g cm⁻³
* crystal system: cubic
* D(E_F): 1.539 states/eV/atom
* space group: No. 221



Relative energies, unit meV/atom: #i 0; #ii 660



#i
An optimized crystal structure of RbTaTe2N, computed with PBE.

Unit cell a=5.840 b=5.840 c=3.952 alpha=90.00 beta=90.00 gamma=90.00
Sites, in units of the cell vectors:
Rb1 0.500 0.500 0.500
Te1 0.500 0.000 0.000
N1 0.000 0.000 0.500
Te2 0.000 0.500 0.000
Ta1 0.000 0.000 0.000

* ρ: 6.6 g cm⁻³
* crystal system: tetragonal
* D(E_F): 0.796 states/eV/atom
* space group: No. 123



#ii
An optimized crystal structure of RbTaTe2N, computed with PBE.

Unit cell a=5.981 b=5.981 c=4.196 alpha=90.00 beta=90.00 gamma=90.00
Sites, in units of the cell vectors:
Te1 0.500 0.000 0.000
Te2 0.000 0.500 0.000
Ta1 0.500 0.500 0.500
Rb1 0.000 0.000 0.000
N1 0.000 0.000 0.500

* ρ: 5.9 g cm⁻³
* crystal system: tetragonal
* D(E_F): 1.279 states/eV/atom
* space group: No. 123



Relative energies, unit meV/atom: #i 0; #ii 2590



#i
An optimized crystal structure of RbTaTeN2, computed with PBE.

Unit cell a=4.286 b=4.286 c=5.620 alpha=90.00 beta=90.00 gamma=90.00
Sites, in units of the cell vectors:
N1 0.000 0.500 0.000
N2 0.500 0.000 0.000
Ta1 0.000 0.000 0.000
Te1 0.000 0.000 0.500
Rb1 0.500 0.500 0.500

* ρ: 6.8 g cm⁻³
* crystal system: tetragonal
* D(E_F): 0.664 states/eV/atom
* space group: No. 123



#ii
An optimized crystal structure of RbTaTeN2, computed with PBE.

Unit cell a=4.183 b=4.183 c=6.110 alpha=90.00 beta=90.00 gamma=90.00
Sites, in units of the cell vectors:
N1 0.500 0.000 0.000
Rb1 0.000 0.000 0.000
Ta1 0.500 0.500 0.500
Te1 0.000 0.000 0.500
N2 0.000 0.500 0.000

* ρ: 6.6 g cm⁻³
* crystal system: tetragonal
* D(E_F): 0.812 states/eV/atom
* space group: No. 123



Relative energies, unit meV/atom: #i 0; #ii 2654



#i
An optimized crystal structure of RbTc2N2, computed with PBE.

Unit cell a=7.804 b=7.804 c=2.727 alpha=90.00 beta=90.00 gamma=90.00
Sites, in units of the cell vectors:
N1 0.608 0.108 0.000
Tc1 0.607 0.893 0.500
Rb1 0.000 0.000 0.000
Tc2 0.107 0.607 0.500
N2 0.108 0.392 0.000
N3 0.392 0.892 0.000
Tc3 0.393 0.107 0.500
Rb2 0.500 0.500 0.000
Tc4 0.893 0.393 0.500
N4 0.892 0.608 0.000

* ρ: 6.2 g cm⁻³
* crystal system: tetragonal
* D(E_F): 0.766 states/eV/atom
* space group: No. 127



#ii
An optimized crystal structure of RbTc2N2, computed with PBE.

Unit cell a=3.739 b=3.739 c=6.802 alpha=74.05 beta=74.05 gamma=90.00
Sites, in units of the cell vectors:
N1 0.324 0.324 0.353
Rb1 0.000 0.000 0.000
Tc1 0.750 0.250 0.500
Tc2 0.250 0.750 0.500
N2 0.676 0.676 0.647

* ρ: 5.9 g cm⁻³
* crystal system: tetragonal
* D(E_F): 0.945 states/eV/atom
* space group: No. 139



Relative energies, unit meV/atom: #i 977; #ii 0



#i
An optimized crystal structure of RbTcTeN2, computed with PBE.

Unit cell a=4.132 b=4.132 c=6.740 alpha=90.00 beta=90.00 gamma=90.00
Sites, in units of the cell vectors:
N1 0.500 0.000 0.000
Te1 0.000 0.000 0.500
N2 0.000 0.500 0.000
Tc1 0.500 0.500 0.500
Rb1 0.000 0.000 0.000

* ρ: 4.9 g cm⁻³
* crystal system: tetragonal
* D(E_F): 1.755 states/eV/atom
* space group: No. 123



#ii
An optimized crystal structure of RbTcTeN2, computed with PBE.

Unit cell a=4.162 b=4.162 c=5.519 alpha=90.00 beta=90.00 gamma=90.00
Sites, in units of the cell vectors:
Tc1 0.000 0.000 0.000
Rb1 0.500 0.500 0.500
N1 0.000 0.500 0.000
Te1 0.000 0.000 0.500
N2 0.500 0.000 0.000

* ρ: 5.9 g cm⁻³
* crystal system: tetragonal
* D(E_F): 0.891 states/eV/atom
* space group: No. 123



Relative energies, unit meV/atom: #i 2301; #ii 0



#i
An optimized crystal structure of RbTcTe2N, computed with PBE.

Unit cell a=5.853 b=5.853 c=3.761 alpha=90.00 beta=90.00 gamma=90.00
Sites, in units of the cell vectors:
Tc1 0.000 0.000 0.000
Rb1 0.500 0.500 0.500
N1 0.000 0.000 0.500
Te1 0.000 0.500 0.000
Te2 0.500 0.000 0.000

* ρ: 5.8 g cm⁻³
* crystal system: tetragonal
* D(E_F): 0.676 states/eV/atom
* space group: No. 123



#ii
An optimized crystal structure of RbTcTe2N, computed with PBE.

Unit cell a=6.268 b=6.268 c=4.987 alpha=90.00 beta=90.00 gamma=90.00
Sites, in units of the cell vectors:
Te1 0.500 0.000 0.000
Tc1 0.500 0.500 0.500
N1 0.000 0.000 0.500
Te2 0.000 0.500 0.000
Rb1 0.000 0.000 0.000

* ρ: 3.8 g cm⁻³
* crystal system: tetragonal
* D(E_F): 1.041 states/eV/atom
* space group: No. 123



Relative energies, unit meV/atom: #i 0; #ii 2185



#i
An optimized crystal structure of RbTlTeN2, computed with PBE.

Unit cell a=5.370 b=5.370 c=7.279 alpha=90.00 beta=90.00 gamma=90.00
Sites, in units of the cell vectors:
N1 0.000 0.500 0.000
N2 0.500 0.000 0.000
Rb1 0.000 0.000 0.000
Te1 0.000 0.000 0.500
Tl1 0.500 0.500 0.500

* ρ: 3.5 g cm⁻³
* crystal system: tetragonal
* D(E_F): 1.017 states/eV/atom
* space group: No. 123



#ii
An optimized crystal structure of RbTlTeN2, computed with PBE.

Unit cell a=4.964 b=4.964 c=5.982 alpha=90.00 beta=90.00 gamma=90.00
Sites, in units of the cell vectors:
N1 0.000 0.500 0.000
N2 0.500 0.000 0.000
Te1 0.000 0.000 0.500
Rb1 0.500 0.500 0.500
Tl1 0.000 0.000 0.000

* ρ: 5.0 g cm⁻³
* crystal system: tetragonal
* D(E_F): 0.694 states/eV/atom
* space group: No. 123



Relative energies, unit meV/atom: #i 443; #ii 0